Entry 1:
First-principles (PBE-GGA) data for a relaxed structure of Ba2EuIn, as listed in the Alexandria database.

**Relative energy among the computed polymorphs**: 1.133 kcal/mol of atoms
**Formation energy**: -0.5 eV/f.u.
**Space-group type**: Fm-3m, No. 225
**Total magnetization**: 1.892 μB per atom

abc: 6.2389 6.2389 6.2389
angles: 60.00 60.00 60.00
Last column: nearest neighbours and their distance in Å.
Positions (direct):
Eu 0.0000 0.0000 0.0000  8 Ba 3.82
Ba 0.7500 0.7500 0.7500  4 In 3.82, 4 Eu 3.82
Ba 0.2500 0.2500 0.2500  4 Eu 3.82, 4 In 3.82
In 0.5000 0.5000 0.5000  8 Ba 3.82

=====

Entry 2:
First-principles (PBE-GGA) data for a relaxed structure of Pr4ZnAg3, as listed in the Alexandria database.

**Relative energy among the computed polymorphs**: 0.725 kcal/mol of atoms
**Formation energy**: -1.9 eV/f.u.
**Space-group type**: Pmm2, No. 25
**Total magnetization**: 0.000 μB per atom

abc: 3.8859 4.8390 11.6387
angles: 90.00 90.00 90.00
Last column: nearest neighbours and their distance in Å.
Positions (direct):
Pr 0.0000 0.5000 0.8552  2 Zn 3.20, 5 Ag 3.22-3.27
Pr 0.5000 0.5000 0.3512  6 Ag 3.22-3.24, 1 Zn 3.23
Pr 0.5000 0.0000 0.6456  7 Ag 3.21-3.29
Pr 0.0000 0.0000 0.1460  3 Ag 3.20-3.26, 4 Zn 3.22
Zn 0.5000 0.5000 0.0737  2 Ag 2.95, 7 Pr 3.20-3.23
Ag 0.0000 0.5000 0.5745  2 Ag 2.97, 7 Pr 3.21-3.27
Ag 0.5000 0.0000 0.9281  2 Zn 2.95, 7 Pr 3.20-3.29
Ag 0.0000 0.0000 0.4258  2 Ag 2.97, 7 Pr 3.21-3.26

=====

Entry 3:
First-principles (PBE-GGA) data for a relaxed structure of Na2ZrCrRe, as listed in the Alexandria database.

**Formation energy**: 9.4 eV/f.u.
**Space-group type**: P4/mmm, No. 123
**Total magnetization**: 1.072 μB per atom

abc: 4.8445 5.0076 4.8445
angles: 90.00 90.00 90.00
Last column: nearest neighbours and their distance in Å.
Positions (direct):
Na 0.5000 0.0000 0.0000  2 Cr 2.42
Na 0.0000 0.0000 0.5000  2 Cr 2.42
Cr 0.0000 0.0000 0.0000  4 Na 2.42, 2 Zr 2.50
Re 0.5000 0.5000 0.5000  4 Zr 3.43, 8 Na 3.48
Zr 0.0000 0.5000 0.0000  2 Cr 2.50

=====

Entry 4:
First-principles (PBE-GGA) data for a relaxed structure of PuVTcOs, as listed in the Alexandria database.

**Formation energy**: 0.1 eV/f.u.
**Space-group type**: F-43m, No. 216
**Total magnetization**: 1.092 μB per atom

abc: 4.5234 4.5234 4.5234
angles: 60.00 60.00 60.00
Last column: nearest neighbours and their distance in Å.
Positions (direct):
Tc 0.7500 0.7500 0.7500  4 Pu 2.77, 4 V 2.77
V 0.5000 0.5000 0.5000  4 Os 2.77, 4 Tc 2.77
Os 0.2500 0.2500 0.2500  4 V 2.77, 4 Pu 2.77
Pu 0.0000 0.0000 0.0000  4 Tc 2.77, 4 Os 2.77

=====

Entry 5:
First-principles (PBE-GGA) data for a relaxed structure of InCu4P, as listed in the Alexandria database.

**Formation energy**: 1.0 eV/f.u.
**Space-group type**: F-43m, No. 216
**Total magnetization**: 0.000 μB per atom

abc: 4.9720 4.9720 4.9720
angles: 60.00 60.00 60.00
Last column: nearest neighbours and their distance in Å.
Positions (direct):
In 0.7500 0.7500 0.7500  12 Cu 2.92, 4 P 3.04
Cu 0.3748 0.8755 0.3748  6 Cu 2.48-2.49
Cu 0.3748 0.3748 0.3748  6 Cu 2.48-2.49
Cu 0.3748 0.3748 0.8755  6 Cu 2.48-2.49
Cu 0.8755 0.3748 0.3748  6 Cu 2.48-2.49
P 0.0000 0.0000 0.0000  12 Cu 2.91, 4 In 3.04

=====

Entry 6:
First-principles (PBE-GGA) data for a relaxed structure of LiHoLuMn, as listed in the Alexandria database.

**Formation energy**: 0.4 eV/f.u.
**Space-group type**: F-43m, No. 216
**Total magnetization**: 0.616 μB per atom

abc: 4.9464 4.9464 4.9464
angles: 60.00 60.00 60.00
Last column: nearest neighbours and their distance in Å.
Positions (direct):
Ho 0.0000 0.0000 0.0000  4 Mn 3.03, 4 Li 3.03
Lu 0.5000 0.5000 0.5000  4 Li 3.03, 4 Mn 3.03
Mn 0.2500 0.2500 0.2500  4 Lu 3.03, 4 Ho 3.03
Li 0.7500 0.7500 0.7500  4 Ho 3.03, 4 Lu 3.03

=====

Entry 7:
First-principles (PBE-GGA) data for a relaxed structure of SrTcHg2, as listed in the Alexandria database.

**Relative energy among the computed polymorphs**: 3.250 kcal/mol of atoms
**Formation energy**: 1.7 eV/f.u.
**Space-group type**: P4/mmm, No. 123
**Total magnetization**: 0.002 μB per atom

abc: 7.8608 4.8028 3.9512
angles: 90.02 59.79 127.69
Last column: nearest neighbours and their distance in Å.
Positions (direct):
Sr 0.0000 0.5000 0.5000  8 Hg 3.11, 4 Tc 3.40
Tc 0.5000 0.5000 0.0000  8 Hg 3.11, 4 Sr 3.40
Hg 0.0000 0.0000 0.0000  4 Sr 3.11, 4 Tc 3.11, 4 Hg 3.40
Hg 0.5000 0.0000 0.5000  4 Tc 3.11, 4 Sr 3.11, 4 Hg 3.40

=====

Entry 8:
First-principles (PBE-GGA) data for a relaxed structure of CdMoSe2, as listed in the Alexandria database.

**Relative energy among the computed polymorphs**: 8.778 kcal/mol of atoms
**Uncorrected formation energy**: 0.32 eV per formula unit
**Space-group type**: I-42d, No. 122
**Total magnetization**: 0.000 μB per atom

abc: 6.0182 6.0182 7.3138
angles: 65.71 65.71 90.00
Last column: nearest neighbours and their distance in Å.
Positions (direct):
Se 0.3750 0.4206 0.7500  2 Mo 2.45
Se 0.1706 0.6250 0.2500  2 Mo 2.45
Se 0.8750 0.8294 0.7500  2 Mo 2.45
Se 0.5794 0.1250 0.2500  2 Mo 2.45
Mo 0.5000 0.5000 0.0000  4 Se 2.45
Mo 0.2500 0.7500 0.5000  4 Se 2.45
Cd 0.7500 0.2500 0.5000  4 Se 2.76
Cd 0.0000 0.0000 0.0000  4 Se 2.76

=====

Entry 9:
First-principles (PBE-GGA) data for a relaxed structure of Ho7Al5Ag, as listed in the Alexandria database.

**Formation energy**: -2.6 eV/f.u.
**Space-group type**: Imm2, No. 44
**Total magnetization**: 0.000 μB per atom

abc: 6.2527 7.8300 7.8300
angles: 77.01 66.47 66.47
Last column: nearest neighbours and their distance in Å.
Positions (direct):
Ag 0.9155 0.0845 0.0845  4 Al 3.14, 6 Ho 3.21-3.45
Al 0.5508 0.9850 0.4728  2 Al 2.75-2.85, 4 Ho 2.95-3.07
Al 0.9914 0.4728 0.9850  2 Al 2.75-2.85, 4 Ho 2.95-3.07
Al 0.9914 0.9850 0.4728  2 Al 2.75-2.85, 4 Ho 2.95-3.07
Al 0.7817 0.7183 0.7183  4 Al 2.85, 6 Ho 3.13-3.16
Al 0.5508 0.4728 0.9850  2 Al 2.75-2.85, 4 Ho 2.95-3.07
Ho 0.2762 0.2238 0.2238  4 Al 2.95, 4 Ho 3.12-3.26
Ho 0.2351 0.7649 0.7649  6 Al 3.07-3.16, 1 Ag 3.37
Ho 0.5284 0.8040 0.1391  5 Al 3.03-3.31, 3 Ho 3.12-3.34
Ho 0.0226 0.6696 0.2851  5 Al 3.05-3.19, 1 Ag 3.21, 3 Ho 3.26-3.41
Ho 0.5284 0.1391 0.8040  5 Al 3.03-3.31, 3 Ho 3.12-3.34
Ho 0.0226 0.2851 0.6696  5 Al 3.05-3.19, 1 Ag 3.21, 3 Ho 3.26-3.41
Ho 0.6048 0.3952 0.3952  4 Al 3.26, 1 Ag 3.27, 4 Ho 3.34-3.61

=====

Entry 10:
First-principles (PBE-GGA) data for a relaxed structure of AgBiS2Cl, as listed in the Alexandria database.

**Uncorrected formation energy**: 1.16 eV per formula unit
**Space-group type**: P4/mmm, No. 123
**Total magnetization**: 0.000 μB per atom

abc: 5.2306 5.2306 5.3881
angles: 90.00 90.00 90.00
Last column: nearest neighbours and their distance in Å.
Positions (direct):
Ag 0.5000 0.5000 0.5000  4 Cl 3.70, 8 S 3.75
S 0.5000 0.0000 0.0000  2 Bi 2.62
S 0.0000 0.5000 0.0000  2 Bi 2.62
Cl 0.0000 0.0000 0.5000  2 Bi 2.69
Bi 0.0000 0.0000 0.0000  4 S 2.62, 2 Cl 2.69

=====

Entry 11:
First-principles (PBE-GGA) data for a relaxed structure of Li5ErHg6, as listed in the Alexandria database.

**Formation energy**: -4.5 eV/f.u.
**Space-group type**: P2/m, No. 10
**Total magnetization**: 0.000 μB per atom

abc: 4.8319 6.8393 7.6051
angles: 90.00 108.31 90.00
Last column: nearest neighbours and their distance in Å.
Positions (direct):
Hg 0.1702 0.2647 0.3442  7 Li 2.90-3.02, 1 Er 3.07, 1 Hg 3.22
Hg 0.5000 0.7309 0.0000  6 Li 2.81-3.07, 2 Er 3.04
Hg 0.8298 0.7353 0.6558  7 Li 2.90-3.02, 1 Er 3.07, 1 Hg 3.22
Hg 0.5000 0.2691 0.0000  6 Li 2.81-3.07, 2 Er 3.04
Hg 0.8298 0.2647 0.6558  7 Li 2.90-3.02, 1 Er 3.07, 1 Hg 3.22
Hg 0.1702 0.7353 0.3442  7 Li 2.90-3.02, 1 Er 3.07, 1 Hg 3.22
Li 0.3324 0.0000 0.6589  8 Hg 2.91-3.07
Li 0.0000 0.5000 0.0000  8 Hg 2.89-2.96
Li 0.6593 0.5000 0.3221  8 Hg 2.81-2.91
Li 0.6676 0.0000 0.3411  8 Hg 2.91-3.07
Li 0.3407 0.5000 0.6779  8 Hg 2.81-2.91
Er 0.0000 0.0000 0.0000  8 Hg 3.04-3.07

=====

Entry 12:
First-principles (PBE-GGA) data for a relaxed structure of CoPdW2N, as listed in the Alexandria database.

**Uncorrected formation energy**: 0.03 eV per formula unit
**Space-group type**: P4/mmm, No. 123
**Total magnetization**: 0.000 μB per atom

abc: 4.0850 4.0850 3.8726
angles: 90.00 90.00 90.00
Last column: nearest neighbours and their distance in Å.
Positions (direct):
W 0.0000 0.5000 0.0000  2 N 2.04
W 0.5000 0.0000 0.0000  2 N 2.04
Pd 0.5000 0.5000 0.5000  8 W 2.81, 4 Co 2.89
N 0.0000 0.0000 0.0000  2 Co 1.94, 4 W 2.04
Co 0.0000 0.0000 0.5000  2 N 1.94